The following is a DFT calculation (PBE-GGA) of Ho3Mg4 after structural relaxation.

The structure in POSCAR format:
```
Ho3Mg4
1.0
9.0314 0.0000 0.0000
-4.5157 7.8215 0.0000
0.0000 0.0000 5.3043
Ho Mg
6 8
Cartesian
-1.9605 4.9387 1.3261
1.2189 3.6543 1.3261
3.7741 0.7715 3.9783
0.7416 7.0499 1.3261
3.2968 4.1672 3.9783
6.4762 2.8827 3.9783
-3.2453 6.3642 3.9783
0.6268 1.8289 3.9783
1.8973 0.3716 1.3261
0.0000 5.2143 3.9783
4.5157 2.6071 1.3261
2.6185 7.4499 3.9783
3.8889 5.9926 1.3261
7.7610 1.4573 1.3261
```

Computed properties:
Its total energy is -2.856 eV per atom. As for the space group: P6_3/m, No. 176. The density is 5.2 Mg/m³. The value obtained for the energy above the most stable polymorph in this dataset is 0.006 eV/atom.